A plane-wave DFT calculation with PBE was carried out for crystalline TaBP2O at its relaxed geometry.

abc: 4.9110 4.9110 3.8408
angles: 90.00 90.00 90.00
Positions (direct):
Ta: 0.0000 0.0000 0.0000
P: 0.0000 0.5000 0.0000
P: 0.5000 0.0000 0.0000
B: 0.5000 0.5000 0.5000
O: 0.0000 0.0000 0.5000

Properties
uncorrected formation energy = 455 meV/atom
distance to the lowest polymorph of the same formula = 0.479 eV/atom
total magnetization = 0.0 Bohr magnetons per cell
calculated volume = 93 Å³/cell